Material: NdEuMnFeO6
Method: DFT, PBE+U
State: relaxed

The structure in POSCAR format:
```
NdEuMnFeO6
1.0
0.000 3.833 3.833
3.833 0.000 3.833
3.833 3.833 0.000
Nd Eu Mn Fe O
1 1 1 1 6
Direct
0.000 0.000 0.000 Nd
0.500 0.500 0.500 Eu
0.750 0.750 0.750 Mn
0.250 0.250 0.250 Fe
0.504 0.504 0.996 O
0.504 0.996 0.504 O
0.504 0.996 0.996 O
0.996 0.504 0.504 O
0.996 0.504 0.996 O
0.996 0.996 0.504 O
```

Summary:
- Fermi-level density of states: 7.2 states/eV/cell
- Energy: -7.7927 eV/atom